# CaTa2Co, relaxed, DFT PBEsol
# Size of the total moment   0.00 Bohr magnetons per cell
# Density of states at the Fermi level   8.76 states/eV per cell
# Formation energy from the elements   3.15 eV per formula unit
data_CaTa2Co
_symmetry_space_group_name_H-M 'C m m m'
_symmetry_Int_Tables_number 65
_symmetry_space_group_name_Hall '-C 2 2'
_cell_length_a 5.284
_cell_length_b 9.569
_cell_length_c 2.762
_cell_angle_alpha 90.00
_cell_angle_beta 90.00
_cell_angle_gamma 90.00
loop_
_atom_site_label
_atom_site_type_symbol
_atom_site_fract_x
_atom_site_fract_y
_atom_site_fract_z
Ca1 Ca 0.000 0.000 0.000
Ta1 Ta 0.250 0.250 0.500
Co1 Co 0.000 0.500 0.000